(1)
Th2TlSnOs | PBE | optimized geometry

Properties
DFT total energy ... -68.0 eV per cell
Volume ... 27.767 Å³/atom

Structure (POSCAR):
```
Th2TlSnOs
1.0
-3.834 -1.203 1.339
3.429 -1.949 8.069
-3.484 8.024 -2.767
Th Tl Sn Os
4 2 2 2
Cartesian
-2.422 2.262 5.148 Th
-0.110 -2.153 7.799 Th
-1.467 2.609 1.493 Th
-3.779 7.024 -1.158 Th
0.704 0.932 6.204 Tl
-4.593 3.939 0.436 Tl
-2.362 5.773 1.776 Sn
-1.527 -0.902 4.864 Sn
-1.197 4.569 4.027 Os
-2.692 0.303 2.613 Os
```

(2)
CsTiZn2 | PBE | optimized geometry

Properties
DFT total energy ... -7.6 eV per cell
Volume ... 26.541 Å³/atom

Structure (POSCAR):
```
CsTiZn2
1.0
0.000 3.758 3.758
3.758 0.000 3.758
3.758 3.758 0.000
Cs Zn Ti
1 2 1
Cartesian
3.758 3.758 3.758 Cs
1.879 1.879 1.879 Zn
5.637 5.637 5.637 Zn
0.000 0.000 0.000 Ti
```